<1>
Compound: ZnHPt2
Source: Alexandria
Functional: PBE
Structure: optimized geometry

Computed properties:
theoretical density	15.221	g/cm³

a = 6.084 Å, b = 6.084 Å, c = 5.075 Å
α = 53.17°, β = 53.17°, γ = 90.00°
Atoms (fractional coordinates):
H (0.500, 0.500, 0.000)
H (0.250, 0.750, 0.500)
Zn (0.000, 0.000, 0.000)
Zn (0.750, 0.250, 0.500)
Pt (0.529, 0.125, 0.250)
Pt (0.221, 0.625, 0.250)
Pt (0.375, 0.471, 0.750)
Pt (0.875, 0.779, 0.750)

<2>
Compound: ZnHPt2
Source: Alexandria
Functional: PBE
Structure: optimized geometry

Computed properties:
theoretical density	15.692	g/cm³

a = 2.897 Å, b = 2.897 Å, c = 6.853 Å
α = 77.80°, β = 77.80°, γ = 60.00°
Atoms (fractional coordinates):
H (0.000, 0.000, 0.000)
Zn (0.500, 0.500, 0.500)
Pt (0.730, 0.730, 0.809)
Pt (0.270, 0.270, 0.191)

Relative energies in meV/atom: <1> 0; <2> 13

<1>
Compound: ZnHPt2
Source: Alexandria
Functional: PBE
Structure: optimized geometry

Computed properties:
theoretical density	14.889	g/cm³

a = 4.160 Å, b = 4.160 Å, c = 4.160 Å
α = 60.00°, β = 60.00°, γ = 60.00°
Atoms (fractional coordinates):
H (0.000, 0.000, 0.000)
Zn (0.500, 0.500, 0.500)
Pt (0.250, 0.250, 0.250)
Pt (0.750, 0.750, 0.750)

<2>
Compound: ZnHPt2
Source: Alexandria
Functional: PBE
Structure: optimized geometry

Computed properties:
theoretical density	15.372	g/cm³

a = 2.910 Å, b = 2.910 Å, c = 6.933 Å
α = 77.89°, β = 77.89°, γ = 60.00°
Atoms (fractional coordinates):
Zn (0.495, 0.495, 0.515)
H (0.687, 0.687, 0.940)
Pt (0.058, 0.058, 0.827)
Pt (0.261, 0.261, 0.218)

<3>
Compound: ZnHPt2
Source: Alexandria
Functional: PBE
Structure: optimized geometry

Computed properties:
theoretical density	15.411	g/cm³

a = 2.796 Å, b = 2.796 Å, c = 6.292 Å
α = 90.00°, β = 90.00°, γ = 90.00°
Atoms (fractional coordinates):
H (0.500, 0.500, 0.000)
Zn (0.500, 0.500, 0.500)
Pt (0.000, 0.000, 0.785)
Pt (0.000, 0.000, 0.215)

Relative energies in meV/atom: <1> 329; <2> 0; <3> 195

<1>
Compound: ZnH3Pt
Source: Alexandria
Functional: PBE
Structure: optimized geometry

Computed properties:
theoretical density	9.468	g/cm³

a = 3.589 Å, b = 3.589 Å, c = 3.589 Å
α = 90.00°, β = 90.00°, γ = 90.00°
Atoms (fractional coordinates):
H (0.000, 0.500, 0.000)
H (0.000, 0.000, 0.500)
H (0.500, 0.000, 0.000)
Zn (0.500, 0.500, 0.500)
Pt (0.000, 0.000, 0.000)

<2>
Compound: ZnH3Pt
Source: Alexandria
Functional: PBE
Structure: optimized geometry

Computed properties:
theoretical density	10.047	g/cm³

a = 3.518 Å, b = 3.518 Å, c = 3.518 Å
α = 90.00°, β = 90.00°, γ = 90.00°
Atoms (fractional coordinates):
H (0.000, 0.500, 0.000)
H (0.000, 0.000, 0.500)
H (0.500, 0.000, 0.000)
Zn (0.000, 0.000, 0.000)
Pt (0.500, 0.500, 0.500)

Relative energies in meV/atom: <1> 0; <2> 652

<1>
Compound: ZnH2Pt
Source: Alexandria
Functional: PBE
Structure: optimized geometry

Computed properties:
theoretical density	10.966	g/cm³

a = 4.281 Å, b = 4.281 Å, c = 5.290 Å
α = 66.14°, β = 66.14°, γ = 90.00°
Atoms (fractional coordinates):
H (0.655, 0.125, 0.250)
H (0.095, 0.625, 0.250)
H (0.375, 0.345, 0.750)
H (0.875, 0.905, 0.750)
Zn (0.500, 0.500, 0.000)
Zn (0.250, 0.750, 0.500)
Pt (0.000, 0.000, 0.000)
Pt (0.750, 0.250, 0.500)

<2>
Compound: ZnH2Pt
Source: Alexandria
Functional: PBE
Structure: optimized geometry

Computed properties:
theoretical density	11.610	g/cm³

a = 3.759 Å, b = 3.759 Å, c = 3.759 Å
α = 60.00°, β = 60.00°, γ = 60.00°
Atoms (fractional coordinates):
H (0.250, 0.250, 0.250)
H (0.750, 0.750, 0.750)
Zn (0.000, 0.000, 0.000)
Pt (0.500, 0.500, 0.500)

Relative energies in meV/atom: <1> 0; <2> 385

<1>
Compound: ZrHPt3
Source: Alexandria
Functional: PBE
Structure: optimized geometry

Computed properties:
theoretical density	16.024	g/cm³

a = 4.125 Å, b = 4.125 Å, c = 4.125 Å
α = 90.00°, β = 90.00°, γ = 90.00°
Atoms (fractional coordinates):
H (0.000, 0.000, 0.000)
Zr (0.500, 0.500, 0.500)
Pt (0.000, 0.500, 0.000)
Pt (0.000, 0.000, 0.500)
Pt (0.500, 0.000, 0.000)

<2>
Compound: ZrHPt3
Source: Alexandria
Functional: PBE
Structure: optimized geometry

Computed properties:
theoretical density	8.855	g/cm³

a = 5.027 Å, b = 5.027 Å, c = 5.027 Å
α = 90.00°, β = 90.00°, γ = 90.00°
Atoms (fractional coordinates):
H (0.500, 0.500, 0.500)
Zr (0.000, 0.000, 0.000)
Pt (0.000, 0.500, 0.000)
Pt (0.000, 0.000, 0.500)
Pt (0.500, 0.000, 0.000)

Relative energies in meV/atom: <1> 0; <2> 1866

<1>
Compound: Zr3HPt
Source: Alexandria
Functional: PBE
Structure: optimized geometry

Computed properties:
theoretical density	8.959	g/cm³

a = 3.264 Å, b = 7.473 Å, c = 7.473 Å
α = 72.83°, β = 90.00°, γ = 90.00°
Atoms (fractional coordinates):
Zr (0.863, 0.363, 0.829)
Zr (0.863, 0.026, 0.664)
Zr (0.863, 0.611, 0.078)
Zr (0.363, 0.001, 0.053)
Zr (0.863, 0.777, 0.415)
Zr (0.363, 0.387, 0.440)
H (0.363, 0.694, 0.246)
H (0.363, 0.194, 0.746)
Pt (0.363, 0.694, 0.746)
Pt (0.863, 0.194, 0.246)

<2>
Compound: Zr3HPt
Source: Alexandria
Functional: PBE
Structure: optimized geometry

Computed properties:
theoretical density	9.336	g/cm³

a = 4.372 Å, b = 4.372 Å, c = 4.372 Å
α = 90.00°, β = 90.00°, γ = 90.00°
Atoms (fractional coordinates):
H (0.000, 0.000, 0.000)
Zr (0.000, 0.500, 0.000)
Zr (0.000, 0.000, 0.500)
Zr (0.500, 0.000, 0.000)
Pt (0.500, 0.500, 0.500)

Relative energies in meV/atom: <1> 72; <2> 0